No. 1
# Ta5Cr

A relaxed Ta5Cr crystal (PBE, the Alexandria database).

Computed properties:
Formation energy ... 778 meV per atom
Space-group type ... P6/mmm (191)
ΔE to the lowest computed polymorph ... 72.5 kJ per mole of atoms

a b c (Å): 5.573 5.573 4.539
angles (deg): 90.00 90.00 120.00
Fractional positions:
Ta 0.000 0.500 0.000
Ta 0.333 0.667 0.500
Ta 0.500 0.000 0.000
Ta 0.500 0.500 0.000
Ta 0.667 0.333 0.500
Cr 0.000 0.000 0.500

***

No. 2
# TaCr5

A relaxed TaCr5 crystal (PBE, the Alexandria database).

Computed properties:
Formation energy ... 220 meV per atom
Space-group type ... P6/mmm (191)
ΔE to the lowest computed polymorph ... 18.7 kJ per mole of atoms

a b c (Å): 4.783 4.783 4.038
angles (deg): 90.00 90.00 120.00
Fractional positions:
Ta 0.000 0.000 0.000
Cr 0.000 0.500 0.500
Cr 0.333 0.667 0.000
Cr 0.500 0.000 0.500
Cr 0.500 0.500 0.500
Cr 0.667 0.333 0.000